62
Lattice="6.3358 0.0000 0.0000 0.0000 12.7164 0.0000 -2.5960 0.0000 8.8170" Properties=species:S:1:pos:R:3 comment="Cs2FeH12S2O14, PBEsol geometry, DFT meta-GGA SCAN" sg=P2_1/c energy_ev_per_atom=-9.20 pbc="T T T"
Cs -0.0120 1.8519 3.2324
Cs -1.3100 4.5063 7.6409
Cs 5.0498 8.2101 1.1761
Cs 3.7518 10.8645 5.5846
Fe 3.1679 0.0000 0.0000
Fe 1.8699 6.3582 4.4085
H -0.5256 7.1677 5.3058
H 0.7724 11.9069 0.8973
H -0.9439 1.2819 6.9549
H 0.3542 5.0763 2.5464
H -0.0407 8.1924 4.1979
H -1.3387 10.8822 8.6064
H 0.6262 1.6662 6.6996
H 1.9242 4.6920 2.2911
H 2.0943 7.5948 1.9040
H 0.7963 11.4798 6.3124
H 2.1413 8.7330 3.0311
H 0.8433 10.3416 7.4396
H 2.8965 2.3748 1.3774
H 1.5985 3.9834 5.7859
H 2.9435 1.2366 2.5045
H 1.6454 5.1216 6.9130
H 1.8156 8.0244 6.5259
H 3.1136 11.0502 2.1174
H 5.0784 1.8342 0.2106
H 3.7804 4.5240 4.6191
H 3.3856 7.6401 6.2705
H 4.6836 11.4345 1.8621
H 2.9674 0.8095 7.9197
H 4.2654 5.5487 3.5112
S -0.8078 8.1926 7.9053
S 0.4902 10.8820 3.4968
S 3.2496 1.8344 5.3201
S 4.5476 4.5238 0.9117
O -1.3478 7.4035 6.7525
O -0.0498 11.6711 2.3441
O -1.6928 9.3646 8.1227
O -0.3948 9.7100 3.7142
O -0.0055 7.2221 4.4526
O 1.2925 11.8525 0.0441
O 1.7979 7.3212 0.2859
O 0.4999 11.7534 4.6944
O -0.0631 1.4749 7.3934
O 1.2350 4.8833 2.9849
O 0.5750 8.6623 7.5855
O 1.8730 10.4122 3.1771
O 2.6835 1.4119 1.5521
O 1.3855 4.9463 5.9606
O 2.3543 7.7701 2.8564
O 1.0563 11.3045 7.2649
O 1.8668 2.3041 5.6399
O 3.1648 4.0540 1.2314
O 2.5048 7.8331 5.8321
O 3.8028 11.2415 1.4236
O 3.2398 0.9630 4.1226
O 1.9418 5.3952 8.5311
O 2.4472 0.8639 8.7728
O 3.7453 5.4943 4.3643
O 4.1346 3.0064 5.1028
O 5.4326 3.3518 0.6943
O 3.7896 1.0453 6.4729
O 5.0876 5.3129 2.0644